No. 1
{"formula": "MgIr3S", "functional": "PBE", "state": "relaxed", "final_energy_ev_per_atom": -4.40, "formation_energy_uncorrected_ev_per_atom": 2.06, "cell": [[4.539, 0.000, 0.000], [0.000, 4.539, 0.000], [0.000, 0.000, 4.539]], "species": ["Mg", "Ir", "Ir", "Ir", "S"], "fractional_positions": [[0.000, 0.000, 0.000], [0.500, 0.000, 0.000], [0.000, 0.000, 0.500], [0.000, 0.500, 0.000], [0.500, 0.500, 0.500]]}

***

No. 2
{"formula": "MgIr3S", "functional": "PBE", "state": "relaxed", "final_energy_ev_per_atom": -6.04, "formation_energy_uncorrected_ev_per_atom": 0.42, "cell": [[4.417, 0.000, 0.000], [0.000, 4.417, 0.000], [0.000, 0.000, 4.417]], "species": ["Ir", "Ir", "Ir", "S", "Mg"], "fractional_positions": [[0.500, 0.000, 0.000], [0.000, 0.000, 0.500], [0.000, 0.500, 0.000], [0.000, 0.000, 0.000], [0.500, 0.500, 0.500]]}